# NaW3O9 GGA+U relaxed
data_NaW3O9
_space_group_name_H-M_alt 'P 1 21/m 1'
_space_group_IT_number 11
_cell_length_a 5.5926
_cell_length_b 7.5895
_cell_length_c 8.4064
_cell_angle_alpha 90.00
_cell_angle_beta 90.81
_cell_angle_gamma 90.00
loop_
_space_group_symop_operation_xyz
'x,y,z'
'-x,-y,-z'
'-x,y+1/2,-z'
'x,-y+1/2,z'
loop_
_atom_site_label
_atom_site_type_symbol
_atom_site_fract_x
_atom_site_fract_y
_atom_site_fract_z
Na1 Na 0.0347 0.2500 0.4895
W1 W 0.0000 0.0000 0.0000
W2 W 0.4916 0.0001 0.6883
O1 O 0.0707 0.2500 0.9969
O2 O 0.2314 0.5407 0.8218
O3 O 0.2646 0.5393 0.1614
O4 O 0.2813 0.5346 0.4936
O5 O 0.4125 0.2500 0.6792
O6 O 0.4295 0.2500 0.3170
# **Excess energy over the best structure of this formula in the dataset**: 0.00 kJ/mol of atoms
# **Total moment**: 1.0 μB/f.u.
# **Uncorrected energy**: -7.226 eV per atom